Here is LiHo3Ge2O8F2 after structural relaxation from OQMD via LeMat-Bulk. Energies are from GGA-PBE.

Cell lengths 17.472, 5.026, 11.562 Å; angles 90.00, 130.82, 90.00 degrees
Space group C2/c (No. 15)
Unique sites:
Li (0.250, 0.250, 0.000) (multiplicity 4)
Ho (0.000, 0.209, 0.750) (multiplicity 4)
Ho (0.121, 0.206, 0.149) (multiplicity 8)
Ge (0.147, 0.238, 0.492) (multiplicity 8)
O (0.033, 0.080, 0.427) (multiplicity 8)
O (0.133, 0.416, 0.976) (multiplicity 8)
O (0.158, 0.068, 0.367) (multiplicity 8)
O (0.230, 0.090, 0.673) (multiplicity 8)
F (0.071, 0.403, 0.668) (multiplicity 8)

Values from the calculation:
Total energy   -458.51 eV/cell


Here is PmAsN2O after structural relaxation from OQMD via LeMat-Bulk. Energies are from GGA-PBE.

Cell lengths 7.866, 5.454, 5.347 Å; angles 90.00, 90.00, 90.00 degrees
Space group Ima2 (No. 46)
Unique sites:
Pm (0.250, 0.009, 0.000) (multiplicity 4)
As (0.000, 0.000, 0.501) (multiplicity 4)
N (0.042, 0.249, 0.250) (multiplicity 8)
O (0.250, 0.574, 0.003) (multiplicity 4)

Values from the calculation:
Total energy   -138.74 eV/cell


Here is Al2Ag2O5 after structural relaxation from OQMD via LeMat-Bulk. Energies are from GGA-PBE.

Cell lengths 3.176, 3.176, 10.242 Å; angles 90.00, 90.00, 90.00 degrees
Space group P4/mmm (No. 123)
Unique sites:
Al (0.000, 0.000, 0.000) (multiplicity 1)
Al (0.000, 0.000, 0.500) (multiplicity 1)
Ag (0.500, 0.500, 0.219) (multiplicity 2)
O (0.000, 0.500, 0.383) (multiplicity 4)
O (0.500, 0.500, 0.000) (multiplicity 1)

Values from the calculation:
ΔE to the lowest computed polymorph   938 meV/atom
Total energy   -42.70 eV/cell


Here is RbUAs after structural relaxation from OQMD via LeMat-Bulk. Energies are from GGA-PBE.

Cell lengths 7.421, 7.421, 7.421 Å; angles 90.00, 90.00, 90.00 degrees
Space group F-43m (No. 216)
Unique sites:
Rb (0.000, 0.000, 0.000) (multiplicity 4)
U (0.000, 0.000, 0.500) (multiplicity 4)
As (0.250, 0.250, 0.250) (multiplicity 4)

Values from the calculation:
Total energy   -60.70 eV/cell


Here is FeSiNiAu after structural relaxation from OQMD via LeMat-Bulk. Energies are from GGA-PBE.

Cell lengths 5.948, 5.948, 5.948 Å; angles 90.00, 90.00, 90.00 degrees
Space group F-43m (No. 216)
Unique sites:
Fe (0.000, 0.000, 0.000) (multiplicity 4)
Si (0.250, 0.250, 0.750) (multiplicity 4)
Ni (0.250, 0.250, 0.250) (multiplicity 4)
Au (0.000, 0.000, 0.500) (multiplicity 4)

Values from the calculation:
ΔE to the lowest computed polymorph   34 meV/atom
Total energy   -89.63 eV/cell


Here is HoEr4Se5 after structural relaxation from OQMD via LeMat-Bulk. Energies are from GGA-PBE.

Cell lengths 4.024, 4.024, 28.587 Å; angles 90.00, 90.00, 90.00 degrees
Space group I4/mmm (No. 139)
Unique sites:
Ho (0.000, 0.000, 0.000) (multiplicity 2)
Er (0.000, 0.000, 0.203) (multiplicity 4)
Er (0.000, 0.000, 0.402) (multiplicity 4)
Se (0.000, 0.000, 0.102) (multiplicity 4)
Se (0.000, 0.000, 0.302) (multiplicity 4)
Se (0.000, 0.000, 0.500) (multiplicity 2)

Values from the calculation:
Total energy   -114.44 eV/cell